1.
{
  "formula": "MgAsNO2",
  "functional": "PBE",
  "state": "optimized geometry",
  "space_group": "P4/mmm, No. 123",
  "e_form_raw_ev_per_atom": 0.260,
  "lattice_angstrom": [[3.8022, 0.0000, 0.0000], [0.0000, 3.8022, 0.0000], [0.0000, 0.0000, 4.1307]],
  "species": ["Mg", "As", "N", "O", "O"],
  "frac_coords": [[0.0000, 0.0000, 0.0000], [0.5000, 0.5000, 0.5000], [0.0000, 0.0000, 0.5000], [0.0000, 0.5000, 0.0000], [0.5000, 0.0000, 0.0000]]
}


2.
{
  "formula": "MgAsNO2",
  "functional": "PBE",
  "state": "optimized geometry",
  "space_group": "P4/mmm, No. 123",
  "e_form_raw_ev_per_atom": -0.531,
  "lattice_angstrom": [[3.7502, 0.0000, 0.0000], [0.0000, 3.7502, 0.0000], [0.0000, 0.0000, 3.7299]],
  "species": ["Mg", "As", "N", "O", "O"],
  "frac_coords": [[0.0000, 0.0000, 0.0000], [0.5000, 0.5000, 0.5000], [0.5000, 0.5000, 0.0000], [0.0000, 0.5000, 0.5000], [0.5000, 0.0000, 0.5000]]
}